Entry from Alexandria via LeMat-Bulk: an optimized crystal structure of VGaRhO6 (PBE+U).

Summary:
For the density of states at the Fermi level, the calculation gives 0.6838 states/eV per atom. For the spin magnetization, the calculation gives 0.00 μB per formula unit. As for the space group: P-31c. The calculation puts the uncorrected energy at -6.612 eV/atom.

Cell and atoms, written as extended XYZ:
```
18
Lattice="-1.3950 2.7681 3.8899 1.1015 -4.8084 0.6368 8.2045 2.0738 1.4666" Properties=species:S:1:pos:R:3 pbc="T T T"
V 2.3205 -1.7644 2.0878
V 5.5906 1.7979 3.9054
Ga 1.4883 0.7610 3.1721
Ga 6.4228 -0.7276 2.8211
Rh 0.0000 0.0000 0.0000
Rh 4.1023 1.0369 0.7333
O 0.8812 -1.1343 3.1603
O 1.4193 -1.3560 0.4630
O 4.6934 2.1944 2.2755
O 6.4917 1.3894 5.5302
O 2.9622 0.0261 2.0547
O 3.7611 -2.4055 1.0235
O 6.2296 3.5896 3.8857
O 3.2177 -2.1609 3.7177
O 4.1500 2.4389 4.9697
O 1.6815 -3.5561 2.1075
O 4.9489 0.0074 3.9385
O 7.0299 1.1678 2.8329
```